Compound: ZnSiP
Source: Alexandria
Functional: GGA-PBE
Structure: optimized geometry

Computed properties:
ΔE_f (raw)	71	kJ/mol of formula units
energy relative to the lowest polymorph listed for this composition	383	meV per atom
VASP energy	-3.789	eV per atom

a = 9.5256 Å, b = 3.2538 Å, c = 3.3035 Å
α = 90.00°, β = 97.33°, γ = 90.00°
Sites, in units of the cell vectors:
Zn: 0.0000 0.0000 0.0000
Zn: 0.5000 0.5000 0.0000
Si: 0.2842 0.0000 0.7851
Si: 0.7842 0.5000 0.7851
P: 0.2052 0.5000 0.2625
P: 0.7052 0.0000 0.2625